1.
This record from the Alexandria database describes a relaxed HfNiSe2 crystal. The functional is PBE-GGA.

Results
DFT total energy   -6.107 eV/atom
Energy relative to the elements, uncorrected   -1.73 eV/f.u.

a b c (Å): 4.607 4.607 4.607
angles (deg): 60.00 60.00 60.00
Fractional coordinates of all 4 atoms:
Ni 0.000 0.000 0.000
Se 0.250 0.250 0.250
Se 0.750 0.750 0.750
Hf 0.500 0.500 0.500


2.
This record from the Alexandria database describes a relaxed TbPmTmCd crystal. The functional is PBE-GGA.

Results
ΔE_f   -0.1494 eV per atom
DFT total energy   -3.841 eV/atom

a b c (Å): 3.606 3.606 9.031
angles (deg): 90.00 90.00 90.00
Fractional coordinates of all 4 atoms:
Tb 0.500 0.500 0.794
Tm 0.500 0.500 0.350
Pm 0.000 0.000 0.074
Cd 0.000 0.000 0.566